# 1
DFT (GGA-PBE) results for a relaxed TbDyIr crystal.

Values from the calculation:
Symmetry = No. 38
Distance to the lowest polymorph of the same formula = 21 meV per atom
Uncorrected energy = -6.698 eV/atom
Formation enthalpy at 0 K = -0.6669 eV/atom

abc: 7.4273 9.1703 8.7233
angles: 121.71 115.20 90.00
Fractional coordinates of all 18 atoms:
Tb  0.7524  0.0449  0.5898
Tb  0.1625  0.9551  0.4102
Tb  0.3438  0.7501  0.0003
Tb  0.3435  0.2499  0.9997
Tb  0.1627  0.4549  0.4098
Tb  0.7530  0.5451  0.5902
Dy  0.0142  0.0000  0.0000
Dy  0.0142  0.5000  0.0000
Dy  0.4928  0.3699  0.7395
Dy  0.7533  0.6301  0.2605
Dy  0.7533  0.1305  0.2605
Dy  0.4928  0.8695  0.7395
Ir  0.7530  0.2498  0.9996
Ir  0.7534  0.7502  0.0004
Ir  0.4204  0.1670  0.3335
Ir  0.0869  0.8330  0.6665
Ir  0.0869  0.3335  0.6665
Ir  0.4204  0.6665  0.3335

---

# 2
DFT (GGA-PBE) results for a relaxed AgHgTe2 crystal.

Values from the calculation:
Symmetry = No. 123
E_form (uncorrected) = 0.22 eV per atom
Uncorrected energy = -2.135 eV/atom

abc: 6.4494 4.2565 4.2565
angles: 90.00 90.00 90.00
Fractional coordinates of all 4 atoms:
Te  0.0000  0.0000  0.0000
Te  0.0000  0.5000  0.5000
Hg  0.5000  0.0000  0.5000
Ag  0.5000  0.5000  0.0000

---

no.,D(E_F) (states/eV/atom)
1,1.154
2,0.469